No. 1
InNi2 | meta-GGA SCAN | single point on PBEsol structure

Geometry as POSCAR:
```
InNi2
1.0
3.084 0.000 0.000
0.000 3.084 0.000
0.000 0.000 8.373
In Ni
2 4
Direct
0.000 0.000 0.000 In
0.500 0.500 0.500 In
0.000 0.000 0.324 Ni
0.000 0.000 0.676 Ni
0.500 0.500 0.176 Ni
0.500 0.500 0.824 Ni
```

Results
For the total energy, the calculation gives -65.6 eV/f.u. Its crystal system is tetragonal. For the formation energy, the calculation gives 5.3 kJ per mole of atoms.


No. 2
In2Ni | meta-GGA SCAN | single point on PBEsol structure

Geometry as POSCAR:
```
In2Ni
1.0
3.057 0.000 0.000
0.000 12.267 0.000
0.000 0.000 6.334
In Ni
8 4
Direct
0.000 0.005 0.000 In
0.000 0.253 0.445 In
0.000 0.747 0.945 In
0.000 0.995 0.500 In
0.500 0.247 0.945 In
0.500 0.495 0.500 In
0.500 0.505 0.000 In
0.500 0.753 0.445 In
0.000 0.388 0.756 Ni
0.000 0.612 0.256 Ni
0.500 0.112 0.256 Ni
0.500 0.888 0.756 Ni
```

Results
For the total energy, the calculation gives -83.2 eV/f.u. Its crystal system is orthorhombic. For the formation energy, the calculation gives -6.8 kJ per mole of atoms.


No. 3
InNi4 | meta-GGA SCAN | single point on PBEsol structure

Geometry as POSCAR:
```
InNi4
1.0
5.725 0.000 0.000
0.000 5.725 0.000
0.000 0.000 3.662
In Ni
2 8
Direct
0.000 0.000 0.000 In
0.500 0.500 0.500 In
0.091 0.310 0.500 Ni
0.190 0.591 0.000 Ni
0.310 0.909 0.500 Ni
0.409 0.190 0.000 Ni
0.591 0.810 0.000 Ni
0.690 0.091 0.500 Ni
0.810 0.409 0.000 Ni
0.909 0.690 0.500 Ni
```

Results
For the total energy, the calculation gives -97.9 eV/f.u. Its crystal system is tetragonal. For the formation energy, the calculation gives 3.1 kJ per mole of atoms.